# 1
{
  "formula": "Li2Hf2SnGeIr2",
  "functional": "PBE",
  "state": "relaxed",
  "lattice": [[4.487, 0.000, 0.000], [0.000, 4.487, 0.000], [0.000, 0.000, 6.364]],
  "species": ["Li", "Li", "Hf", "Hf", "Sn", "Ge", "Ir", "Ir"],
  "fractional_positions": [[0.000, 0.500, 0.238], [0.500, 0.000, 0.762], [0.000, 0.000, 0.000], [0.500, 0.500, 0.500], [0.000, 0.000, 0.500], [0.500, 0.500, 0.000], [0.000, 0.500, 0.758], [0.500, 0.000, 0.242]],
  "total_energy_ev_per_atom": -6.99,
  "spacegroup": "No. 115",
  "volume_a3_per_atom": 16.02,
  "m_tot_mub_per_atom": 0.00
}

# 2
{
  "formula": "HfMgU",
  "functional": "PBE",
  "state": "relaxed",
  "lattice": [[0.000, 3.431, 3.431], [3.431, 0.000, 3.431], [3.431, 3.431, 0.000]],
  "species": ["Hf", "Mg", "U"],
  "fractional_positions": [[0.000, 0.000, 0.000], [0.750, 0.750, 0.750], [0.250, 0.250, 0.250]],
  "spacegroup": "No. 216",
  "e_above_lowest_polymorph_kj_per_mol_fu": 0,
  "volume_a3_per_atom": 26.93,
  "m_tot_mub_per_atom": 0.74
}

# 3
{
  "formula": "Ag15Sn",
  "functional": "PBE",
  "state": "relaxed",
  "lattice": [[38.700, 0.000, 0.000], [0.000, 8.210, 0.000], [-0.001, 0.000, 4.092]],
  "species": ["Ag", "Ag", "Ag", "Ag", "Ag", "Ag", "Ag", "Ag", "Ag", "Ag", "Ag", "Ag", "Ag", "Ag", "Ag", "Ag", "Ag", "Ag", "Ag", "Ag", "Ag", "Ag", "Ag", "Ag", "Ag", "Ag", "Ag", "Ag", "Ag", "Ag", "Ag", "Ag", "Ag", "Ag", "Ag", "Ag", "Ag", "Ag", "Ag", "Ag", "Ag", "Ag", "Ag", "Ag", "Ag", "Ag", "Ag", "Ag", "Ag", "Ag", "Ag", "Ag", "Ag", "Ag", "Ag", "Ag", "Ag", "Ag", "Ag", "Ag", "Sn", "Sn", "Sn", "Sn"],
  "fractional_positions": [[0.027, 0.125, 0.000], [0.027, 0.375, 0.500], [0.027, 0.625, 0.000], [0.027, 0.875, 0.500], [0.080, 0.125, 0.500], [0.080, 0.375, 0.000], [0.080, 0.625, 0.500], [0.080, 0.875, 0.000], [0.134, 0.125, 0.000], [0.134, 0.375, 0.500], [0.134, 0.625, 0.000], [0.134, 0.875, 0.500], [0.188, 0.125, 0.500], [0.188, 0.375, 0.000], [0.188, 0.625, 0.500], [0.188, 0.875, 0.000], [0.242, 0.125, 0.000], [0.242, 0.375, 0.500], [0.242, 0.625, 0.000], [0.242, 0.875, 0.500], [0.296, 0.124, 0.501], [0.296, 0.374, 0.001], [0.296, 0.626, 0.501], [0.296, 0.876, 0.001], [0.350, 0.371, 0.501], [0.350, 0.629, 0.001], [0.352, 0.120, 0.001], [0.352, 0.880, 0.501], [0.405, 0.382, 0.001], [0.405, 0.618, 0.501], [0.595, 0.382, 0.499], [0.595, 0.618, 0.999], [0.648, 0.120, 0.499], [0.648, 0.880, 0.999], [0.650, 0.371, 0.999], [0.650, 0.629, 0.499], [0.704, 0.124, 0.999], [0.704, 0.374, 0.499], [0.704, 0.626, 0.999], [0.704, 0.876, 0.499], [0.758, 0.125, 0.500], [0.758, 0.375, 0.000], [0.758, 0.625, 0.500], [0.758, 0.875, 0.000], [0.812, 0.125, 0.000], [0.812, 0.375, 0.500], [0.812, 0.625, 0.000], [0.812, 0.875, 0.500], [0.866, 0.125, 0.500], [0.866, 0.375, 0.000], [0.866, 0.625, 0.500], [0.866, 0.875, 0.000], [0.920, 0.125, 0.000], [0.920, 0.375, 0.500], [0.920, 0.625, 0.000], [0.920, 0.875, 0.500], [0.973, 0.125, 0.500], [0.973, 0.375, 0.000], [0.973, 0.625, 0.500], [0.973, 0.875, 0.000], [0.413, 0.140, 0.501], [0.413, 0.860, 0.001], [0.587, 0.140, 0.999], [0.587, 0.860, 0.499]],
  "spacegroup": "No. 13",
  "e_above_lowest_polymorph_kj_per_mol_fu": 3,
  "volume_a3_per_atom": 20.31
}

# 4
{
  "formula": "Sc2AgGe",
  "functional": "PBE",
  "state": "relaxed",
  "lattice": [[0.000, 3.407, 3.407], [3.407, 0.000, 3.407], [3.407, 3.407, 0.000]],
  "species": ["Sc", "Sc", "Ag", "Ge"],
  "fractional_positions": [[0.000, 0.000, 0.000], [0.250, 0.250, 0.250], [0.750, 0.750, 0.750], [0.500, 0.500, 0.500]],
  "total_energy_ev_per_atom": -5.05,
  "spacegroup": "No. 216",
  "volume_a3_per_atom": 19.77,
  "m_tot_mub_per_atom": 0.59
}

# 5
{
  "formula": "GdHC3O6",
  "functional": "PBE",
  "state": "relaxed",
  "lattice": [[6.965, 0.000, 0.000], [0.000, 10.557, 0.000], [0.000, 0.000, 6.568]],
  "species": ["Gd", "Gd", "Gd", "Gd", "H", "H", "H", "H", "C", "C", "C", "C", "C", "C", "C", "C", "C", "C", "C", "C", "O", "O", "O", "O", "O", "O", "O", "O", "O", "O", "O", "O", "O", "O", "O", "O", "O", "O", "O", "O", "O", "O", "O", "O"],
  "fractional_positions": [[0.200, 0.250, 0.134], [0.300, 0.750, 0.634], [0.700, 0.250, 0.366], [0.800, 0.750, 0.866], [0.217, 0.750, 0.124], [0.283, 0.250, 0.624], [0.717, 0.750, 0.376], [0.783, 0.250, 0.876], [0.096, 0.520, 0.952], [0.096, 0.980, 0.952], [0.125, 0.250, 0.631], [0.375, 0.750, 0.131], [0.404, 0.020, 0.452], [0.404, 0.480, 0.452], [0.596, 0.520, 0.548], [0.596, 0.980, 0.548], [0.625, 0.250, 0.869], [0.875, 0.750, 0.369], [0.904, 0.020, 0.048], [0.904, 0.480, 0.048], [0.033, 0.250, 0.463], [0.048, 0.250, 0.804], [0.089, 0.623, 0.850], [0.089, 0.877, 0.850], [0.242, 0.047, 0.978], [0.242, 0.453, 0.978], [0.258, 0.547, 0.478], [0.258, 0.953, 0.478], [0.411, 0.123, 0.350], [0.411, 0.377, 0.350], [0.452, 0.750, 0.304], [0.467, 0.750, 0.963], [0.533, 0.250, 0.037], [0.548, 0.250, 0.696], [0.589, 0.623, 0.650], [0.589, 0.877, 0.650], [0.742, 0.047, 0.522], [0.742, 0.453, 0.522], [0.758, 0.547, 0.022], [0.758, 0.953, 0.022], [0.911, 0.123, 0.150], [0.911, 0.377, 0.150], [0.952, 0.750, 0.196], [0.967, 0.750, 0.537]],
  "total_energy_ev_per_atom": -7.62,
  "spacegroup": "No. 62",
  "volume_a3_per_atom": 10.98,
  "m_tot_mub_per_atom": 0.00
}

# 6
{
  "formula": "PuNi",
  "functional": "PBE",
  "state": "relaxed",
  "lattice": [[0.000, 2.742, 2.742], [2.742, 0.000, 2.742], [2.742, 2.742, 0.000]],
  "species": ["Pu", "Ni"],
  "fractional_positions": [[0.000, 0.000, 0.000], [0.500, 0.500, 0.500]],
  "spacegroup": "No. 225",
  "volume_a3_per_atom": 20.62,
  "delta_e_f_mev_per_atom": 3,
  "m_tot_mub_per_atom": 2.58
}

# 7
{
  "formula": "SmHo2ErIn2",
  "functional": "PBE",
  "state": "relaxed",
  "lattice": [[5.384, 0.000, 0.000], [-2.692, 4.662, 0.000], [0.000, 0.000, 6.726]],
  "species": ["Sm", "Ho", "Ho", "Er", "In", "In"],
  "fractional_positions": [[0.000, 0.000, 0.000], [0.667, 0.333, 0.255], [0.667, 0.333, 0.745], [0.333, 0.667, 0.500], [0.000, 0.000, 0.500], [0.333, 0.667, 0.000]],
  "total_energy_ev_per_atom": -4.33,
  "spacegroup": "No. 187",
  "volume_a3_per_atom": 28.14,
  "m_tot_mub_per_atom": 0.15
}

# 8
{
  "formula": "Tm3AlIn2CuAg2",
  "functional": "PBE",
  "state": "relaxed",
  "lattice": [[3.802, 0.000, 0.000], [0.000, 6.652, 3.801], [0.000, -6.652, 3.801]],
  "species": ["Tm", "Tm", "Tm", "Al", "In", "In", "Cu", "Ag", "Ag"],
  "fractional_positions": [[0.000, 0.000, 0.000], [0.000, 0.192, 0.589], [0.000, 0.589, 0.192], [0.500, 0.342, 0.342], [0.500, 0.590, 0.840], [0.500, 0.840, 0.590], [0.000, 0.569, 0.569], [0.500, 0.259, 0.933], [0.500, 0.933, 0.259]],
  "total_energy_ev_per_atom": -3.98,
  "spacegroup": "No. 38",
  "volume_a3_per_atom": 21.36,
  "m_tot_mub_per_atom": 0.00
}

# 9
{
  "formula": "YHo2CoNi8",
  "functional": "PBE",
  "state": "relaxed",
  "lattice": [[2.465, 1.423, 8.100], [-2.465, 1.423, 8.100], [0.000, -2.846, 8.100]],
  "species": ["Y", "Ho", "Ho", "Co", "Ni", "Ni", "Ni", "Ni", "Ni", "Ni", "Ni", "Ni"],
  "fractional_positions": [[0.000, 0.000, 0.000], [0.140, 0.140, 0.140], [0.860, 0.860, 0.860], [0.500, 0.500, 0.500], [0.082, 0.583, 0.583], [0.333, 0.333, 0.333], [0.417, 0.417, 0.918], [0.417, 0.918, 0.417], [0.583, 0.082, 0.583], [0.583, 0.583, 0.082], [0.667, 0.667, 0.667], [0.918, 0.417, 0.417]],
  "spacegroup": "No. 166",
  "volume_a3_per_atom": 14.20,
  "delta_e_f_mev_per_atom": -384,
  "m_tot_mub_per_atom": 0.13
}

# 10
{
  "formula": "NaAgTePd",
  "functional": "PBE",
  "state": "relaxed",
  "lattice": [[0.000, 3.447, 3.447], [3.447, 0.000, 3.447], [3.447, 3.447, 0.000]],
  "species": ["Na", "Ag", "Te", "Pd"],
  "fractional_positions": [[0.000, 0.000, 0.000], [0.500, 0.500, 0.500], [0.750, 0.750, 0.750], [0.250, 0.250, 0.250]],
  "spacegroup": "No. 216",
  "e_above_lowest_polymorph_kj_per_mol_fu": 40,
  "volume_a3_per_atom": 20.49
}

# 11
{
  "formula": "NpAuN",
  "functional": "PBE",
  "state": "relaxed",
  "lattice": [[3.945, 0.000, 0.000], [0.000, 3.945, 0.000], [0.000, 0.000, 7.147]],
  "species": ["Np", "Np", "Au", "Au", "N", "N"],
  "fractional_positions": [[0.250, 0.250, 0.149], [0.750, 0.750, 0.851], [0.250, 0.750, 0.500], [0.750, 0.250, 0.500], [0.250, 0.750, 0.000], [0.750, 0.250, 0.000]],
  "total_energy_ev_per_atom": -8.96,
  "spacegroup": "No. 129",
  "volume_a3_per_atom": 18.53,
  "m_tot_mub_per_atom": 1.07
}

# 12
{
  "formula": "HgGeSO",
  "functional": "PBE",
  "state": "relaxed",
  "lattice": [[6.056, 0.000, 0.000], [0.000, 8.423, 0.000], [0.000, 0.000, 12.128]],
  "species": ["Hg", "Hg", "Hg", "Hg", "Hg", "Hg", "Hg", "Hg", "Ge", "Ge", "Ge", "Ge", "Ge", "Ge", "Ge", "Ge", "S", "S", "S", "S", "S", "S", "S", "S", "O", "O", "O", "O", "O", "O", "O", "O"],
  "fractional_positions": [[0.245, 0.098, 0.059], [0.245, 0.402, 0.559], [0.255, 0.598, 0.059], [0.255, 0.902, 0.559], [0.745, 0.098, 0.441], [0.745, 0.402, 0.941], [0.755, 0.598, 0.441], [0.755, 0.902, 0.941], [0.240, 0.223, 0.250], [0.240, 0.277, 0.750], [0.260, 0.723, 0.250], [0.260, 0.777, 0.750], [0.740, 0.223, 0.250], [0.740, 0.277, 0.750], [0.760, 0.723, 0.250], [0.760, 0.777, 0.750], [0.239, 0.142, 0.433], [0.239, 0.358, 0.933], [0.261, 0.642, 0.433], [0.261, 0.858, 0.933], [0.739, 0.142, 0.067], [0.739, 0.358, 0.567], [0.761, 0.642, 0.067], [0.761, 0.858, 0.567], [0.009, 0.652, 0.750], [0.009, 0.848, 0.250], [0.491, 0.152, 0.750], [0.491, 0.348, 0.250], [0.509, 0.652, 0.750], [0.509, 0.848, 0.250], [0.991, 0.152, 0.750], [0.991, 0.348, 0.250]],
  "spacegroup": "No. 61",
  "e_above_lowest_polymorph_kj_per_mol_fu": 59,
  "volume_a3_per_atom": 19.33
}

# 13
{
  "formula": "OsO2",
  "functional": "PBE",
  "state": "relaxed",
  "lattice": [[4.486, 0.000, 0.000], [0.000, 4.486, 0.000], [0.000, 0.000, 3.200]],
  "species": ["Os", "Os", "O", "O", "O", "O"],
  "fractional_positions": [[0.000, 0.000, 0.000], [0.500, 0.500, 0.500], [0.191, 0.191, 0.500], [0.309, 0.691, 0.000], [0.691, 0.309, 0.000], [0.809, 0.809, 0.500]],
  "total_energy_ev_per_atom": -7.92,
  "spacegroup": "No. 136",
  "volume_a3_per_atom": 10.74,
  "m_tot_mub_per_atom": 0.00
}